Arrangement one

DFT (GGA-PBE) results for an optimized crystal structure of GdTmTl2.

Calculated values
**DOS at the Fermi energy**: 2.7 states/eV/f.u.
**Space group**: Fm-3m (225)

Unit cell a=7.5859 b=7.5859 c=7.5859 alpha=90.00 beta=90.00 gamma=90.00
Closest atoms and distances in Å follow each position.
Sites, in units of the cell vectors:
Gd1 0.0000 0.0000 0.0000  8 Tl 3.28
Gd2 0.0000 0.5000 0.5000  8 Tl 3.28
Gd3 0.5000 0.0000 0.5000  8 Tl 3.28
Gd4 0.5000 0.5000 0.0000  8 Tl 3.28
Tm1 0.0000 0.0000 0.5000  8 Tl 3.28
Tm2 0.0000 0.5000 0.0000  8 Tl 3.28
Tm3 0.5000 0.0000 0.0000  8 Tl 3.28
Tm4 0.5000 0.5000 0.5000  8 Tl 3.28
Tl1 0.2500 0.2500 0.2500  4 Tm 3.28, 4 Gd 3.28
Tl2 0.2500 0.2500 0.7500  4 Gd 3.28, 4 Tm 3.28
Tl3 0.2500 0.7500 0.2500  4 Gd 3.28, 4 Tm 3.28
Tl4 0.2500 0.7500 0.7500  4 Tm 3.28, 4 Gd 3.28
Tl5 0.7500 0.2500 0.2500  4 Gd 3.28, 4 Tm 3.28
Tl6 0.7500 0.2500 0.7500  4 Tm 3.28, 4 Gd 3.28
Tl7 0.7500 0.7500 0.2500  4 Tm 3.28, 4 Gd 3.28
Tl8 0.7500 0.7500 0.7500  4 Gd 3.28, 4 Tm 3.28

---

Arrangement two

DFT (GGA-PBE) results for an optimized crystal structure of GdTmTl2.

Calculated values
**DOS at the Fermi energy**: 3.2 states/eV/f.u.
**Space group**: R-3m (166)

Unit cell a=3.7187 b=3.7187 c=29.1156 alpha=90.00 beta=90.00 gamma=120.00
Closest atoms and distances in Å follow each position.
Sites, in units of the cell vectors:
Gd1 0.0000 0.0000 0.0000  6 Tl 3.28
Gd2 0.3333 0.6667 0.6667  6 Tl 3.28
Gd3 0.6667 0.3333 0.3333  6 Tl 3.28
Tm1 0.0000 0.0000 0.5000  6 Tl 3.20
Tm2 0.3333 0.6667 0.1667  6 Tl 3.20
Tm3 0.6667 0.3333 0.8333  6 Tl 3.20
Tl1 0.0000 0.0000 0.2484  3 Tm 3.20, 3 Gd 3.28
Tl2 0.0000 0.0000 0.7516  3 Tm 3.20, 3 Gd 3.28
Tl3 0.3333 0.6667 0.4183  3 Tm 3.20, 3 Gd 3.28
Tl4 0.3333 0.6667 0.9151  3 Tm 3.20, 3 Gd 3.28
Tl5 0.6667 0.3333 0.0849  3 Tm 3.20, 3 Gd 3.28
Tl6 0.6667 0.3333 0.5817  3 Tm 3.20, 3 Gd 3.28

---

Arrangement three

DFT (GGA-PBE) results for an optimized crystal structure of GdTmTl2.

Calculated values
**DOS at the Fermi energy**: 1.9 states/eV/f.u.
**Space group**: P4/mmm (123)

Unit cell a=3.5916 b=3.5916 c=8.4081 alpha=90.00 beta=90.00 gamma=90.00
Closest atoms and distances in Å follow each position.
Sites, in units of the cell vectors:
Gd1 0.0000 0.0000 0.0000  8 Tl 3.33, 4 Gd 3.59
Tm1 0.0000 0.0000 0.5000  8 Tl 3.27, 4 Tm 3.59
Tl1 0.5000 0.5000 0.2557  4 Tm 3.27, 4 Gd 3.33, 4 Tl 3.59
Tl2 0.5000 0.5000 0.7443  4 Tm 3.27, 4 Gd 3.33, 4 Tl 3.59

---

Most favorable structure: arrangement three. The second most favorable one is 0.014 eV/atom above it.

---

Arrangement one

DFT (GGA-PBE) results for an optimized crystal structure of GdY2Tl.

Calculated values
**DOS at the Fermi energy**: 5.1 states/eV/f.u.
**Space group**: P4/mmm (123)

Unit cell a=3.6447 b=3.6447 c=9.1068 alpha=90.00 beta=90.00 gamma=90.00
Closest atoms and distances in Å follow each position.
Sites, in units of the cell vectors:
Gd1 0.0000 0.0000 0.0000  8 Y 3.59, 4 Gd 3.64
Y1 0.5000 0.5000 0.2744  4 Tl 3.30, 4 Gd 3.59, 4 Y 3.64
Y2 0.5000 0.5000 0.7256  4 Tl 3.30, 4 Gd 3.59, 4 Y 3.64
Tl1 0.0000 0.0000 0.5000  8 Y 3.30, 4 Tl 3.64

---

Arrangement two

DFT (GGA-PBE) results for an optimized crystal structure of GdY2Tl.

Calculated values
**DOS at the Fermi energy**: 5.4 states/eV/f.u.
**Space group**: R-3m (166)

Unit cell a=3.5915 b=3.5915 c=33.0599 alpha=90.00 beta=90.00 gamma=120.00
Closest atoms and distances in Å follow each position.
Sites, in units of the cell vectors:
Gd1 0.0000 0.0000 0.0000  6 Y 3.58, 6 Gd 3.59
Gd2 0.3333 0.6667 0.6667  6 Y 3.58, 6 Gd 3.59
Gd3 0.6667 0.3333 0.3333  6 Y 3.58, 6 Gd 3.59
Y1 0.0000 0.0000 0.2452  3 Tl 3.32, 3 Gd 3.58, 6 Y 3.59
Y2 0.0000 0.0000 0.7548  3 Tl 3.32, 3 Gd 3.58, 6 Y 3.59
Y3 0.3333 0.6667 0.4215  3 Tl 3.32, 3 Gd 3.58, 6 Y 3.59
Y4 0.3333 0.6667 0.9119  3 Tl 3.32, 3 Gd 3.58, 6 Y 3.59
Y5 0.6667 0.3333 0.0881  3 Tl 3.32, 3 Gd 3.58, 6 Y 3.59
Y6 0.6667 0.3333 0.5785  3 Tl 3.32, 3 Gd 3.58, 6 Y 3.59
Tl1 0.0000 0.0000 0.5000  6 Y 3.32, 6 Tl 3.59
Tl2 0.3333 0.6667 0.1667  6 Y 3.32, 6 Tl 3.59
Tl3 0.6667 0.3333 0.8333  6 Y 3.32, 6 Tl 3.59

---

Most favorable structure: arrangement one. The second most favorable one is 0.061 eV/atom above it.

---

Arrangement one

DFT (GGA-PBE) results for an optimized crystal structure of GdY2Tl.

Calculated values
**DOS at the Fermi energy**: 4.1 states/eV/f.u.
**Space group**: P4/mmm (123)

Unit cell a=4.9053 b=4.9053 c=4.8195 alpha=90.00 beta=90.00 gamma=90.00
Closest atoms and distances in Å follow each position.
Sites, in units of the cell vectors:
Gd1 0.0000 0.0000 0.0000  8 Y 3.44, 4 Tl 3.47
Y1 0.0000 0.5000 0.5000  4 Gd 3.44, 4 Tl 3.44, 4 Y 3.47
Y2 0.5000 0.0000 0.5000  4 Gd 3.44, 4 Tl 3.44, 4 Y 3.47
Tl1 0.5000 0.5000 0.0000  8 Y 3.44, 4 Gd 3.47

---

Arrangement two

DFT (GGA-PBE) results for an optimized crystal structure of GdY2Tl.

Calculated values
**DOS at the Fermi energy**: 6.9 states/eV/f.u.
**Space group**: Fm-3m (225)

Unit cell a=7.7494 b=7.7494 c=7.7494 alpha=90.00 beta=90.00 gamma=90.00
Closest atoms and distances in Å follow each position.
Sites, in units of the cell vectors:
Gd1 0.0000 0.0000 0.0000  8 Y 3.36
Gd2 0.0000 0.5000 0.5000  8 Y 3.36
Gd3 0.5000 0.0000 0.5000  8 Y 3.36
Gd4 0.5000 0.5000 0.0000  8 Y 3.36
Y1 0.2500 0.2500 0.2500  4 Gd 3.36, 4 Tl 3.36
Y2 0.2500 0.2500 0.7500  4 Gd 3.36, 4 Tl 3.36
Y3 0.2500 0.7500 0.2500  4 Gd 3.36, 4 Tl 3.36
Y4 0.2500 0.7500 0.7500  4 Gd 3.36, 4 Tl 3.36
Y5 0.7500 0.2500 0.2500  4 Gd 3.36, 4 Tl 3.36
Y6 0.7500 0.2500 0.7500  4 Gd 3.36, 4 Tl 3.36
Y7 0.7500 0.7500 0.2500  4 Gd 3.36, 4 Tl 3.36
Y8 0.7500 0.7500 0.7500  4 Gd 3.36, 4 Tl 3.36
Tl1 0.0000 0.0000 0.5000  8 Y 3.36
Tl2 0.0000 0.5000 0.0000  8 Y 3.36
Tl3 0.5000 0.0000 0.0000  8 Y 3.36
Tl4 0.5000 0.5000 0.5000  8 Y 3.36

---

Most favorable structure: arrangement one. The second most favorable one is 0.139 eV/atom above it.

---

Arrangement one

DFT (GGA-PBE) results for an optimized crystal structure of Gd2YTl.

Calculated values
**DOS at the Fermi energy**: 4.4 states/eV/f.u.
**Space group**: Fm-3m (225)

Unit cell a=7.7850 b=7.7850 c=7.7850 alpha=90.00 beta=90.00 gamma=90.00
Closest atoms and distances in Å follow each position.
Sites, in units of the cell vectors:
Gd1 0.2500 0.2500 0.2500  4 Tl 3.37, 4 Y 3.37
Gd2 0.2500 0.2500 0.7500  4 Y 3.37, 4 Tl 3.37
Gd3 0.2500 0.7500 0.2500  4 Y 3.37, 4 Tl 3.37
Gd4 0.2500 0.7500 0.7500  4 Tl 3.37, 4 Y 3.37
Gd5 0.7500 0.2500 0.2500  4 Y 3.37, 4 Tl 3.37
Gd6 0.7500 0.2500 0.7500  4 Tl 3.37, 4 Y 3.37
Gd7 0.7500 0.7500 0.2500  4 Tl 3.37, 4 Y 3.37
Gd8 0.7500 0.7500 0.7500  4 Y 3.37, 4 Tl 3.37
Y1 0.0000 0.0000 0.0000  8 Gd 3.37
Y2 0.0000 0.5000 0.5000  8 Gd 3.37
Y3 0.5000 0.0000 0.5000  8 Gd 3.37
Y4 0.5000 0.5000 0.0000  8 Gd 3.37
Tl1 0.0000 0.0000 0.5000  8 Gd 3.37
Tl2 0.0000 0.5000 0.0000  8 Gd 3.37
Tl3 0.5000 0.0000 0.0000  8 Gd 3.37
Tl4 0.5000 0.5000 0.5000  8 Gd 3.37

---

Arrangement two

DFT (GGA-PBE) results for an optimized crystal structure of Gd2YTl.

Calculated values
**DOS at the Fermi energy**: 3.9 states/eV/f.u.
**Space group**: P4/mmm (123)

Unit cell a=4.8440 b=4.8440 c=4.9428 alpha=90.00 beta=90.00 gamma=90.00
Closest atoms and distances in Å follow each position.
Sites, in units of the cell vectors:
Gd1 0.0000 0.5000 0.0000  4 Gd 3.43, 4 Tl 3.46, 4 Y 3.46
Gd2 0.5000 0.0000 0.0000  4 Gd 3.43, 4 Tl 3.46, 4 Y 3.46
Y1 0.0000 0.0000 0.5000  4 Tl 3.43, 8 Gd 3.46
Tl1 0.5000 0.5000 0.5000  4 Y 3.43, 8 Gd 3.46

---

Arrangement three

DFT (GGA-PBE) results for an optimized crystal structure of Gd2YTl.

Calculated values
**DOS at the Fermi energy**: 6.0 states/eV/f.u.
**Space group**: P4/mmm (123)

Unit cell a=3.6673 b=3.6673 c=9.1562 alpha=90.00 beta=90.00 gamma=90.00
Closest atoms and distances in Å follow each position.
Sites, in units of the cell vectors:
Gd1 0.0000 0.0000 0.2282  4 Tl 3.33, 4 Y 3.59, 4 Gd 3.67
Gd2 0.0000 0.0000 0.7718  4 Tl 3.33, 4 Y 3.59, 4 Gd 3.67
Y1 0.5000 0.5000 0.5000  8 Gd 3.59, 4 Y 3.67
Tl1 0.5000 0.5000 0.0000  8 Gd 3.33, 4 Tl 3.67

---

Arrangement four

DFT (GGA-PBE) results for an optimized crystal structure of Gd2YTl.

Calculated values
**DOS at the Fermi energy**: 4.8 states/eV/f.u.
**Space group**: R-3m (166)

Unit cell a=3.5539 b=3.5539 c=36.4384 alpha=90.00 beta=90.00 gamma=120.00
Closest atoms and distances in Å follow each position.
Sites, in units of the cell vectors:
Gd1 0.0000 0.0000 0.0886  1 Tl 3.23, 3 Y 3.51, 6 Gd 3.55
Gd2 0.0000 0.0000 0.9114  1 Tl 3.23, 3 Y 3.51, 6 Gd 3.55
Gd3 0.3333 0.6667 0.5781  1 Tl 3.23, 3 Y 3.51, 6 Gd 3.55
Gd4 0.3333 0.6667 0.7552  1 Tl 3.23, 3 Y 3.51, 6 Gd 3.55
Gd5 0.6667 0.3333 0.2448  1 Tl 3.23, 3 Y 3.51, 6 Gd 3.55
Gd6 0.6667 0.3333 0.4219  1 Tl 3.23, 3 Y 3.51, 6 Gd 3.55
Y1 0.0000 0.0000 0.5000  6 Gd 3.51, 6 Y 3.55
Y2 0.3333 0.6667 0.1667  6 Gd 3.51, 6 Y 3.55
Y3 0.6667 0.3333 0.8333  6 Gd 3.51, 6 Y 3.55
Tl1 0.0000 0.0000 0.0000  2 Gd 3.23, 6 Tl 3.55
Tl2 0.3333 0.6667 0.6667  2 Gd 3.23, 6 Tl 3.55
Tl3 0.6667 0.3333 0.3333  2 Gd 3.23, 6 Tl 3.55

---

Most favorable structure: arrangement two. The second most favorable one is 0.056 eV/atom above it.